--- 1 ---
EuYSc | GGA-PBE | optimized geometry

Values from the calculation:
* DOS at the Fermi energy: 4.35 states/eV/f.u.
* total magnetic moment: 7.040 μB/f.u.

```
data_EuYSc
_cell_length_a 3.614
_cell_length_b 3.614
_cell_length_c 14.600
_cell_angle_alpha 90.00
_cell_angle_beta 90.00
_cell_angle_gamma 90.00
_space_group_name_H-M_alt 'I 4 m m'
_space_group_IT_number 107
_space_group_name_Hall 'I 4 -2'
loop_
_atom_site_label
_atom_site_fract_x
_atom_site_fract_y
_atom_site_fract_z
Eu1 0.000 0.000 0.000
Y1 0.000 0.000 0.313
Sc1 0.000 0.000 0.667
```

--- 2 ---
EuYSc | GGA-PBE | optimized geometry

Values from the calculation:
* DOS at the Fermi energy: 4.08 states/eV/f.u.
* total magnetic moment: 7.251 μB/f.u.

```
data_EuYSc
_cell_length_a 3.5547
_cell_length_b 3.5547
_cell_length_c 8.6364
_cell_angle_alpha 90.00
_cell_angle_beta 90.00
_cell_angle_gamma 120.00
_space_group_name_H-M_alt 'P 3 m 1'
_space_group_IT_number 156
loop_
_space_group_symop_operation_xyz
'x,y,z'
'-y,x-y,z'
'-x+y,-x,z'
'-y,-x,z'
'-x+y,y,z'
'x,x-y,z'
loop_
_atom_site_label
_atom_site_fract_x
_atom_site_fract_y
_atom_site_fract_z
Eu1 0.0000 0.0000 0.0000
Y1 0.3333 0.6667 0.6374
Sc1 0.6667 0.3333 0.3344
```

Most stable: 1. Least stable: 2.

--- 1 ---
EuSc2Zn | GGA-PBE | optimized geometry

Values from the calculation:
* DOS at the Fermi energy: 4.60 states/eV/f.u.
* total magnetic moment: 7.583 μB/f.u.

```
data_EuSc2Zn
_cell_length_a 3.3282
_cell_length_b 3.3282
_cell_length_c 32.2884
_cell_angle_alpha 90.00
_cell_angle_beta 90.00
_cell_angle_gamma 120.00
_space_group_name_H-M_alt 'R -3 m'
_space_group_IT_number 166
_space_group_name_Hall '-R 3 2"'
loop_
_atom_site_label
_atom_site_fract_x
_atom_site_fract_y
_atom_site_fract_z
Eu1 0.0000 0.0000 0.0000
Sc1 0.0000 0.0000 0.1018
Zn1 0.0000 0.0000 0.5000
```

--- 2 ---
EuSc2Zn | GGA-PBE | optimized geometry

Values from the calculation:
* DOS at the Fermi energy: 5.20 states/eV/f.u.
* total magnetic moment: 7.758 μB/f.u.

```
data_EuSc2Zn
_cell_length_a 3.402
_cell_length_b 3.402
_cell_length_c 8.666
_cell_angle_alpha 90.00
_cell_angle_beta 90.00
_cell_angle_gamma 90.00
_space_group_name_H-M_alt 'P 4/m m m'
_space_group_IT_number 123
_space_group_name_Hall '-P 4 2'
loop_
_atom_site_label
_atom_site_fract_x
_atom_site_fract_y
_atom_site_fract_z
Eu1 0.000 0.000 0.000
Sc1 0.500 0.500 0.314
Zn1 0.000 0.000 0.500
```

Most stable: 2. Least stable: 1.

--- 1 ---
EuZrSc | GGA-PBE | optimized geometry

Values from the calculation:
* DOS at the Fermi energy: 3.62 states/eV/f.u.
* total magnetic moment: 7.333 μB/f.u.

```
data_EuZrSc
_cell_length_a 3.316
_cell_length_b 3.316
_cell_length_c 15.084
_cell_angle_alpha 90.00
_cell_angle_beta 90.00
_cell_angle_gamma 90.00
_space_group_name_H-M_alt 'I 4 m m'
_space_group_IT_number 107
_space_group_name_Hall 'I 4 -2'
loop_
_atom_site_label
_atom_site_fract_x
_atom_site_fract_y
_atom_site_fract_z
Eu1 0.000 0.000 0.000
Zr1 0.000 0.000 0.324
Sc1 0.000 0.000 0.688
```

--- 2 ---
EuZrSc | GGA-PBE | optimized geometry

Values from the calculation:
* DOS at the Fermi energy: 3.93 states/eV/f.u.
* total magnetic moment: 7.471 μB/f.u.

```
data_EuZrSc
_cell_length_a 3.3586
_cell_length_b 3.3586
_cell_length_c 8.3951
_cell_angle_alpha 90.00
_cell_angle_beta 90.00
_cell_angle_gamma 120.00
_space_group_name_H-M_alt 'P 3 m 1'
_space_group_IT_number 156
loop_
_space_group_symop_operation_xyz
'x,y,z'
'-y,x-y,z'
'-x+y,-x,z'
'-y,-x,z'
'-x+y,y,z'
'x,x-y,z'
loop_
_atom_site_label
_atom_site_fract_x
_atom_site_fract_y
_atom_site_fract_z
Eu1 0.0000 0.0000 0.0000
Zr1 0.3333 0.6667 0.6554
Sc1 0.6667 0.3333 0.3666
```

Most stable: 1. Least stable: 2.

--- 1 ---
Eu2SnSe | GGA-PBE | optimized geometry

Values from the calculation:
* DOS at the Fermi energy: 21.17 states/eV/f.u.
* total magnetic moment: 13.981 μB/f.u.

```
data_Eu2SnSe
_cell_length_a 4.1767
_cell_length_b 4.1767
_cell_length_c 24.9647
_cell_angle_alpha 90.00
_cell_angle_beta 90.00
_cell_angle_gamma 120.00
_space_group_name_H-M_alt 'R -3 m'
_space_group_IT_number 166
_space_group_name_Hall '-R 3 2"'
loop_
_atom_site_label
_atom_site_fract_x
_atom_site_fract_y
_atom_site_fract_z
Eu1 0.0000 0.0000 0.2397
Sn1 0.0000 0.0000 0.0000
Se1 0.0000 0.0000 0.5000
```

--- 2 ---
Eu2SnSe | GGA-PBE | optimized geometry

Values from the calculation:
* DOS at the Fermi energy: 11.78 states/eV/f.u.
* total magnetic moment: 13.926 μB/f.u.

```
data_Eu2SnSe
_cell_length_a 3.668
_cell_length_b 3.668
_cell_length_c 8.360
_cell_angle_alpha 90.00
_cell_angle_beta 90.00
_cell_angle_gamma 90.00
_space_group_name_H-M_alt 'P 4/m m m'
_space_group_IT_number 123
_space_group_name_Hall '-P 4 2'
loop_
_atom_site_label
_atom_site_fract_x
_atom_site_fract_y
_atom_site_fract_z
Eu1 0.000 0.000 0.221
Sn1 0.500 0.500 0.500
Se1 0.500 0.500 0.000
```

Most stable: 1. Least stable: 2.

--- 1 ---
SrEuSi4 | GGA-PBE | optimized geometry

Values from the calculation:
* DOS at the Fermi energy: 0.33 states/eV/f.u.
* total magnetic moment: 6.995 μB/f.u.

```
data_SrEuSi4
_cell_length_a 7.875
_cell_length_b 7.875
_cell_length_c 7.875
_cell_angle_alpha 90.00
_cell_angle_beta 90.00
_cell_angle_gamma 90.00
_space_group_name_H-M_alt 'F -4 3 m'
_space_group_IT_number 216
_space_group_name_Hall 'F -4 2 3'
loop_
_atom_site_label
_atom_site_fract_x
_atom_site_fract_y
_atom_site_fract_z
Sr1 0.000 0.000 0.000
Eu1 0.250 0.250 0.750
Si1 0.117 0.117 0.383
```

--- 2 ---
SrEuSi4 | GGA-PBE | optimized geometry

Values from the calculation:
* DOS at the Fermi energy: 5.28 states/eV/f.u.
* total magnetic moment: 6.879 μB/f.u.

```
data_SrEuSi4
_cell_length_a 4.368
_cell_length_b 4.368
_cell_length_c 13.762
_cell_angle_alpha 90.00
_cell_angle_beta 90.00
_cell_angle_gamma 90.00
_space_group_name_H-M_alt 'I -4 m 2'
_space_group_IT_number 119
_space_group_name_Hall 'I -4 -2'
loop_
_atom_site_label
_atom_site_fract_x
_atom_site_fract_y
_atom_site_fract_z
Sr1 0.000 0.000 0.000
Eu1 0.000 0.500 0.750
Si1 0.000 0.000 0.414
Si2 0.000 0.500 0.167
```

Most stable: 2. Least stable: 1.

--- 1 ---
SmEu | GGA-PBE | optimized geometry

Values from the calculation:
* DOS at the Fermi energy: 2.73 states/eV/f.u.
* total magnetic moment: 7.433 μB/f.u.

```
data_SmEu
_cell_length_a 4.190
_cell_length_b 4.190
_cell_length_c 4.190
_cell_angle_alpha 90.00
_cell_angle_beta 90.00
_cell_angle_gamma 90.00
_space_group_name_H-M_alt 'P m -3 m'
_space_group_IT_number 221
_space_group_name_Hall '-P 4 2 3'
loop_
_atom_site_label
_atom_site_fract_x
_atom_site_fract_y
_atom_site_fract_z
Sm1 0.000 0.000 0.000
Eu1 0.500 0.500 0.500
```

--- 2 ---
SmEu | GGA-PBE | optimized geometry

Values from the calculation:
* DOS at the Fermi energy: 2.10 states/eV/f.u.
* total magnetic moment: 7.393 μB/f.u.

```
data_SmEu
_cell_length_a 3.742
_cell_length_b 3.742
_cell_length_c 10.649
_cell_angle_alpha 90.00
_cell_angle_beta 90.00
_cell_angle_gamma 90.00
_space_group_name_H-M_alt 'P 4/n m m'
_space_group_IT_number 129
loop_
_space_group_symop_operation_xyz
'x,y,z'
'-x,-y,-z'
'-y+1/2,x,z'
'y+1/2,-x,-z'
'-x+1/2,-y+1/2,z'
'x+1/2,y+1/2,-z'
'y,-x+1/2,z'
'-y,x+1/2,-z'
'x+1/2,-y,-z'
'-x+1/2,y,z'
'-y,-x,-z'
'y,x,z'
'-x,y+1/2,-z'
'x,-y+1/2,z'
'y+1/2,x+1/2,-z'
'-y+1/2,-x+1/2,z'
loop_
_atom_site_label
_atom_site_fract_x
_atom_site_fract_y
_atom_site_fract_z
Sm1 0.250 0.250 0.112
Eu1 0.250 0.250 0.635
```

Most stable: 2. Least stable: 1.

--- 1 ---
SrSmEu2 | GGA-PBE | optimized geometry

Values from the calculation:
* DOS at the Fermi energy: 3.02 states/eV/f.u.
* total magnetic moment: 14.297 μB/f.u.

```
data_SrSmEu2
_cell_length_a 8.735
_cell_length_b 8.735
_cell_length_c 8.735
_cell_angle_alpha 90.00
_cell_angle_beta 90.00
_cell_angle_gamma 90.00
_space_group_name_H-M_alt 'F m -3 m'
_space_group_IT_number 225
_space_group_name_Hall '-F 4 2 3'
loop_
_atom_site_label
_atom_site_fract_x
_atom_site_fract_y
_atom_site_fract_z
Sr1 0.000 0.000 0.000
Sm1 0.000 0.000 0.500
Eu1 0.250 0.250 0.250
```

--- 2 ---
SrSmEu2 | GGA-PBE | optimized geometry

Values from the calculation:
* DOS at the Fermi energy: 12.16 states/eV/f.u.
* total magnetic moment: 15.286 μB/f.u.

```
data_SrSmEu2
_cell_length_a 3.890
_cell_length_b 3.890
_cell_length_c 11.166
_cell_angle_alpha 90.00
_cell_angle_beta 90.00
_cell_angle_gamma 90.00
_space_group_name_H-M_alt 'P 4/m m m'
_space_group_IT_number 123
_space_group_name_Hall '-P 4 2'
loop_
_atom_site_label
_atom_site_fract_x
_atom_site_fract_y
_atom_site_fract_z
Sr1 0.000 0.000 0.000
Sm1 0.000 0.000 0.500
Eu1 0.500 0.500 0.274
```

Most stable: 2. Least stable: 1.

--- 1 ---
SrSmEu2 | GGA-PBE | optimized geometry

Values from the calculation:
* DOS at the Fermi energy: 3.51 states/eV/f.u.
* total magnetic moment: 14.393 μB/f.u.

```
data_SrSmEu2
_cell_length_a 6.223
_cell_length_b 6.223
_cell_length_c 4.294
_cell_angle_alpha 90.00
_cell_angle_beta 90.00
_cell_angle_gamma 90.00
_space_group_name_H-M_alt 'P 4/m m m'
_space_group_IT_number 123
_space_group_name_Hall '-P 4 2'
loop_
_atom_site_label
_atom_site_fract_x
_atom_site_fract_y
_atom_site_fract_z
Sr1 0.000 0.000 0.000
Sm1 0.500 0.500 0.000
Eu1 0.000 0.500 0.500
```

--- 2 ---
SrSmEu2 | GGA-PBE | optimized geometry

Values from the calculation:
* DOS at the Fermi energy: 4.55 states/eV/f.u.
* total magnetic moment: 15.094 μB/f.u.

```
data_SrSmEu2
_cell_length_a 3.8945
_cell_length_b 3.8945
_cell_length_c 38.5481
_cell_angle_alpha 90.00
_cell_angle_beta 90.00
_cell_angle_gamma 120.00
_space_group_name_H-M_alt 'R -3 m'
_space_group_IT_number 166
_space_group_name_Hall '-R 3 2"'
loop_
_atom_site_label
_atom_site_fract_x
_atom_site_fract_y
_atom_site_fract_z
Sr1 0.0000 0.0000 0.0000
Sm1 0.0000 0.0000 0.5000
Eu1 0.0000 0.0000 0.2448
```

Most stable: 2. Least stable: 1.